1.
A plane-wave DFT calculation with PBE was carried out for an optimized crystal structure of TbCeNd.

## Properties
space-group type: I4mm (107)
energy of formation: 7 kJ per mole of atoms
distance to the lowest polymorph of the same formula: 2 meV per atom

Lattice parameters (Å, degrees): 3.560 3.560 7.942 102.95 102.95 90.00
Each line ends with the local moment (μB).
Atoms (fractional coordinates):
Nd 0.994 0.994 0.988  -0.01
Tb 0.674 0.674 0.349  -0.01
Ce 0.332 0.332 0.664  0.17


2.
A plane-wave DFT calculation with PBE was carried out for an optimized crystal structure of TbCeNd.

## Properties
space-group type: Pmma (51)
energy of formation: 23 kJ per mole of atoms
distance to the lowest polymorph of the same formula: 169 meV per atom

Lattice parameters (Å, degrees): 3.398 8.784 6.519 90.00 90.00 90.00
Each line ends with the local moment (μB).
Atoms (fractional coordinates):
Ce 0.000 0.836 0.250  0.83
Nd 0.500 0.821 0.750  0.04
Ce 0.000 0.164 0.750  0.83
Tb 0.000 0.500 0.500  0.00
Tb 0.000 0.500 0.000  0.00
Nd 0.500 0.179 0.250  0.04


3.
A plane-wave DFT calculation with PBE was carried out for an optimized crystal structure of Tb3CeNd12.

## Properties
space-group type: P4/mmm (123)
energy of formation: 3 kJ per mole of atoms

Lattice parameters (Å, degrees): 5.165 5.165 20.632 90.00 90.00 90.00
Each line ends with the local moment (μB).
Atoms (fractional coordinates):
Tb 0.000 0.000 0.500  -0.01
Nd 0.500 0.000 0.375  0.00
Ce 0.000 0.000 0.000  0.79
Nd 0.500 0.000 0.124  0.01
Nd 0.500 0.000 0.625  0.00
Nd 0.000 0.500 0.625  0.00
Nd 0.500 0.500 0.749  0.00
Nd 0.000 0.500 0.124  0.01
Nd 0.000 0.500 0.375  0.00
Nd 0.500 0.000 0.876  0.01
Nd 0.000 0.500 0.876  0.01
Nd 0.500 0.500 0.500  0.00
Tb 0.000 0.000 0.750  -0.01
Nd 0.500 0.500 0.251  0.00
Tb 0.000 0.000 0.250  -0.01
Nd 0.500 0.500 0.000  0.02